Compound: Tl2FeOs
Source: the Alexandria database
Functional: GGA-PBEsol
Structure: optimized geometry

## Properties
E (eV/atom): -5.61
Density of states at the Fermi level (states/eV/f.u.): 4.9
Energy relative to the elements (eV/atom): 0.996

a b c (Å): 3.055 4.484 5.232
angles (deg): 90.00 93.62 90.00
Space group P2/m (No. 10)
Symmetry-distinct sites (fractional):
Tl: 0.235 0.000 0.252 [2 per cell]
Fe: 0.000 0.500 0.500 [1 per cell]
Os: 0.500 0.500 0.000 [1 per cell]